## LiHf2TlTc (PBE-GGA)

Data for LiHf2TlTc after structural relaxation. Values from VASP.

Calculated values
As for the total DFT energy (no corrections): -6.416 eV per atom. Its formation energy is 2.5 eV/f.u.

```
&SYSTEM
  ibrav = 0, nat = 5, ntyp = 4
/
ATOMIC_SPECIES
Tc 98.00 Tc.upf
Li 6.94 Li.upf
Hf 178.49 Hf.upf
Tl 204.38 Tl.upf
ATOMIC_POSITIONS crystal
Tc 0.0000 0.0000 0.0000
Li 0.5000 0.5000 0.5000
Hf 0.5000 0.0000 0.0000
Hf 0.0000 0.0000 0.5000
Tl 0.0000 0.5000 0.0000
CELL_PARAMETERS angstrom
4.9663 0.0000 0.0000
0.0000 5.3704 0.0000
0.0000 0.0000 4.9663
```